Material: TbZrAgAu
Method: DFT, GGA-PBE
State: optimized geometry

Properties
DOS(E_F) = 4.44 states/eV/cell
V = 88 Å³ per cell
calculated total energy = -5.166 eV/atom
energy of formation from the pure elements = -339 meV/atom

a = 5.000 Å, b = 5.000 Å, c = 5.000 Å
α = 60.00°, β = 60.00°, γ = 60.00°
Each line ends with the local moment (μB).
Element x y z (fractional)
Tb: 0.000 0.000 0.000  0.19
Au: 0.750 0.750 0.750  0.04
Zr: 0.500 0.500 0.500  0.50
Ag: 0.250 0.250 0.250  0.03



Material: ScBiPd2
Method: DFT, GGA-PBE
State: optimized geometry

Properties
DOS(E_F) = 3.11 states/eV/cell
V = 79 Å³ per cell
calculated total energy = -5.808 eV/atom
energy of formation from the pure elements = -658 meV/atom

a = 3.484 Å, b = 3.484 Å, c = 6.528 Å
α = 90.00°, β = 90.00°, γ = 90.00°
Element x y z (fractional)
Sc: 0.500 0.500 0.000
Bi: 0.500 0.500 0.500
Pd: 0.000 0.000 0.783
Pd: 0.000 0.000 0.217



Material: YTeHRh2
Method: DFT, GGA-PBE
State: optimized geometry

Properties
DOS(E_F) = 5.24 states/eV/cell
V = 134 Å³ per cell
calculated total energy = -4.720 eV/atom

a = 4.813 Å, b = 5.801 Å, c = 4.813 Å
α = 90.00°, β = 90.00°, γ = 90.00°
Element x y z (fractional)
Y: 0.000 0.500 0.000
H: 0.500 0.500 0.500
Te: 0.000 0.000 0.000
Rh: 0.000 0.000 0.500
Rh: 0.500 0.000 0.000



Material: KCaZr3
Method: DFT, GGA-PBE
State: optimized geometry

Properties
DOS(E_F) = 8.63 states/eV/cell
V = 141 Å³ per cell
calculated total energy = -4.055 eV/atom
energy of formation from the pure elements = 1694 meV/atom

a = 5.208 Å, b = 5.208 Å, c = 5.208 Å
α = 90.00°, β = 90.00°, γ = 90.00°
Each line ends with the local moment (μB).
Element x y z (fractional)
Ca: 0.500 0.500 0.500  0.01
K: 0.000 0.000 0.000  0.14
Zr: 0.000 0.500 0.000  0.49
Zr: 0.000 0.000 0.500  0.48
Zr: 0.500 0.000 0.000  0.48